Record 1
NaLaAs3 | Alexandria | PBEsol | relaxed; D(E_F) = 3.912 states/eV/cell; electronic total energy = -4.1502 eV per atom; symmetry = Pm-3m
1.0
5.609 0.000 0.000
0.000 5.609 0.000
0.000 0.000 5.609
La As Na
1 3 1
direct
0.000 0.000 0.000
0.000 0.000 0.500
0.500 0.000 0.000
0.000 0.500 0.000
0.500 0.500 0.500



Record 2
LaNb2AsOs | Alexandria | PBEsol | relaxed; D(E_F) = 7.390 states/eV/cell; electronic total energy = -8.3076 eV per atom; symmetry = P4/mmm
1.0
4.634 0.000 0.000
0.000 4.815 0.000
0.000 0.000 4.815
As Nb La Os
1 2 1 1
direct
0.000 0.000 0.000
0.000 0.000 0.500
0.000 0.500 0.000
0.500 0.500 0.500
0.500 0.000 0.000



Record 3
LaNiAs | Alexandria | PBEsol | relaxed; D(E_F) = 1.851 states/eV/cell; electronic total energy = -6.6312 eV per atom; symmetry = P6_3/mmc
1.0
-3.618 1.099 -1.635
3.031 -1.365 -2.434
-2.706 -7.589 0.888
La As Ni
2 2 2
direct
0.000 0.000 0.500
0.000 0.000 0.000
0.667 0.333 0.250
0.333 0.667 0.750
0.333 0.667 0.250
0.667 0.333 0.750



Record 4
LaNiAs | Alexandria | PBEsol | relaxed; D(E_F) = 1.143 states/eV/cell; electronic total energy = -6.6180 eV per atom; symmetry = P-6m2
1.0
4.053 0.000 0.000
0.000 4.121 0.000
0.000 -2.060 3.568
As La Ni
1 1 1
direct
0.500 0.000 0.000
0.000 0.333 0.667
0.500 0.667 0.333



Record 5
LaAsO3 | Alexandria | PBEsol | relaxed; D(E_F) = 0.000 states/eV/cell; electronic total energy = -7.7158 eV per atom; symmetry = P2_1/m
1.0
4.386 0.000 0.008
0.000 5.293 0.000
-1.661 0.000 5.953
O La As
6 2 2
direct
0.337 0.250 0.883
0.807 0.500 0.658
0.663 0.750 0.117
0.193 0.000 0.342
0.193 0.500 0.342
0.807 0.000 0.658
0.335 0.750 0.701
0.665 0.250 0.299
0.922 0.250 0.859
0.078 0.750 0.141



Record 6
LaAsP2O | Alexandria | PBEsol | relaxed; D(E_F) = 4.205 states/eV/cell; electronic total energy = -5.1534 eV per atom; symmetry = P4/mmm
1.0
-2.951 2.001 2.023
-3.757 -2.083 -3.420
-0.641 -4.316 3.334
La O As P
1 1 1 2
direct
0.000 0.000 0.000
0.500 0.000 0.000
0.500 0.500 0.500
0.000 0.500 0.000
0.000 0.000 0.500



Q: Which of these has the lowest electronic total energy?
A: LaNb2AsOs



Please write out number 1 again, unchanged.
NaLaAs3 | Alexandria | PBEsol | relaxed; D(E_F) = 3.912 states/eV/cell; electronic total energy = -4.1502 eV per atom; symmetry = Pm-3m
1.0
5.609 0.000 0.000
0.000 5.609 0.000
0.000 0.000 5.609
La As Na
1 3 1
direct
0.000 0.000 0.000
0.000 0.000 0.500
0.500 0.000 0.000
0.000 0.500 0.000
0.500 0.500 0.500



Q: Which of these has the lowest electronic total energy?
A: LaNb2AsOs



Q: The lowest electronic total energy belongs to which entry?
A: LaNb2AsOs